No. 1
# AcTlCu2P2

A relaxed AcTlCu2P2 crystal (PBE-GGA, Alexandria via LeMat-Bulk).

The structure in POSCAR format:
```
AcTlCu2P2
1.0
4.0863 0.0000 0.0000
-2.0432 3.5388 0.0000
0.0000 0.0000 9.1779
Ac Tl Cu P
1 1 2 2
Direct
0.0000 0.0000 0.0000 Ac
0.0000 0.0000 0.5000 Tl
0.3333 0.6667 0.2503 Cu
0.6667 0.3333 0.7497 Cu
0.3333 0.6667 0.7761 P
0.6667 0.3333 0.2239 P
```

Calculated values
Its density of states at the Fermi level is 1.4 states/eV per cell. The value obtained for the energy relative to the elements is -0.50 eV/atom. For the magnetic moment, the calculation gives 0.000 μB/atom. As for the symmetry: P-3m1 (164). The energy comes out at -4.746 eV/atom. As for the crystal system: trigonal.

=====

No. 2
# Tm4AlSe3

A relaxed Tm4AlSe3 crystal (PBE-GGA, Alexandria via LeMat-Bulk).

The structure in POSCAR format:
```
Tm4AlSe3
1.0
4.1750 -5.7994 0.0000
4.1750 5.7994 0.0000
0.0000 0.0000 3.9557
Tm Al Se
4 1 3
Direct
0.2446 0.7554 0.0000 Tm
0.2485 0.2485 0.5000 Tm
0.7515 0.7515 0.5000 Tm
0.7554 0.2446 0.0000 Tm
0.0000 0.0000 0.0000 Al
0.0000 0.5000 0.5000 Se
0.5000 0.0000 0.5000 Se
0.5000 0.5000 0.0000 Se
```

Calculated values
Its density of states at the Fermi level is 3.1 states/eV per cell. For the uncorrected formation energy, the calculation gives -1.322 eV/atom. For the magnetic moment, the calculation gives 0.000 μB/atom. As for the symmetry: Cmmm (65). The energy comes out at -5.333 eV/atom. As for the crystal system: orthorhombic.

=====

No. 3
# NdGeO2

A relaxed NdGeO2 crystal (PBE-GGA, Alexandria via LeMat-Bulk).

The structure in POSCAR format:
```
NdGeO2
1.0
1.7220 0.9942 6.7416
-1.7220 0.9942 6.7416
0.0000 -1.9884 6.7416
Nd Ge O
1 1 2
Direct
0.0000 0.0000 0.0000 Nd
0.5000 0.5000 0.5000 Ge
0.1141 0.1141 0.1141 O
0.8859 0.8859 0.8859 O
```

Calculated values
Its density of states at the Fermi level is 2.6 states/eV per cell. For the uncorrected formation energy, the calculation gives -1.138 eV/atom. For the magnetic moment, the calculation gives 0.000 μB/atom. As for the symmetry: R-3m (166). The energy comes out at -5.964 eV/atom. As for the crystal system: trigonal.

=====

No. 4
# Ca2PtI

A relaxed Ca2PtI crystal (PBE-GGA, Alexandria via LeMat-Bulk).

The structure in POSCAR format:
```
Ca2PtI
1.0
0.0000 3.7641 3.7641
3.7641 0.0000 3.7641
3.7641 3.7641 0.0000
Ca Pt I
2 1 1
Direct
0.2500 0.2500 0.2500 Ca
0.7500 0.7500 0.7500 Ca
0.0000 0.0000 0.0000 Pt
0.5000 0.5000 0.5000 I
```

Calculated values
Its density of states at the Fermi level is 2.0 states/eV per cell. For the uncorrected formation energy, the calculation gives -0.751 eV/atom. For the magnetic moment, the calculation gives 0.000 μB/atom. As for the energy above the most stable polymorph in this dataset: 0.311 eV/atom. As for the symmetry: Fm-3m (225). The energy comes out at -3.650 eV/atom. As for the crystal system: cubic.

=====

No. 5
# CrMo2Os

A relaxed CrMo2Os crystal (PBE-GGA, Alexandria via LeMat-Bulk).

The structure in POSCAR format:
```
CrMo2Os
1.0
1.8188 -1.9991 0.0000
1.8188 1.9991 0.0000
0.0000 0.0000 8.0828
Cr Mo Os
1 2 1
Direct
0.0000 0.0000 0.0000 Cr
0.0000 0.0000 0.5324 Mo
0.5000 0.5000 0.2492 Mo
0.5000 0.5000 0.7908 Os
```

Calculated values
Its density of states at the Fermi level is 4.6 states/eV per cell. The value obtained for the energy relative to the elements is 0.18 eV/atom. For the magnetic moment, the calculation gives 0.000 μB/atom. As for the energy above the most stable polymorph in this dataset: 0.058 eV/atom. As for the symmetry: Cmm2 (35). The energy comes out at -10.454 eV/atom. As for the crystal system: orthorhombic.

=====

No. 6
# CaTc2Rh

A relaxed CaTc2Rh crystal (PBE-GGA, Alexandria via LeMat-Bulk).

The structure in POSCAR format:
```
CaTc2Rh
1.0
3.3057 0.0000 0.0000
0.0000 3.3057 0.0000
0.0000 0.0000 6.8407
Ca Tc Rh
1 2 1
Direct
0.0000 0.0000 0.0000 Ca
0.5000 0.5000 0.3215 Tc
0.5000 0.5000 0.6785 Tc
0.0000 0.0000 0.5000 Rh
```

Calculated values
Its density of states at the Fermi level is 4.4 states/eV per cell. The value obtained for the energy relative to the elements is 0.50 eV/atom. For the magnetic moment, the calculation gives 0.202 μB/atom. As for the energy above the most stable polymorph in this dataset: 0.330 eV/atom. As for the symmetry: P4/mmm (123). The energy comes out at -7.022 eV/atom. As for the crystal system: tetragonal.

=====

No. 7
# CdHg2Sb

A relaxed CdHg2Sb crystal (PBE-GGA, Alexandria via LeMat-Bulk).

The structure in POSCAR format:
```
CdHg2Sb
1.0
1.7627 1.0177 9.5965
-1.7627 1.0177 9.5965
0.0000 -2.0354 9.5965
Cd Hg Sb
1 2 1
Direct
0.0000 0.0000 0.0000 Cd
0.4924 0.4924 0.4924 Hg
0.7437 0.7437 0.7437 Hg
0.2502 0.2502 0.2502 Sb
```

Calculated values
Its density of states at the Fermi level is 1.0 states/eV per cell. For the uncorrected formation energy, the calculation gives 0.092 eV/atom. For the magnetic moment, the calculation gives 0.000 μB/atom. As for the energy above the most stable polymorph in this dataset: 0.058 eV/atom. As for the symmetry: R3m (160). The energy comes out at -1.318 eV/atom. As for the crystal system: trigonal.

=====

No. 8
# HfTa2Fe

A relaxed HfTa2Fe crystal (PBE-GGA, Alexandria via LeMat-Bulk).

The structure in POSCAR format:
```
HfTa2Fe
1.0
0.0000 3.2209 3.2209
3.2209 0.0000 3.2209
3.2209 3.2209 0.0000
Hf Ta Fe
1 2 1
Direct
0.0000 0.0000 0.0000 Hf
0.2500 0.2500 0.2500 Ta
0.7500 0.7500 0.7500 Ta
0.5000 0.5000 0.5000 Fe
```

Calculated values
Its density of states at the Fermi level is 5.3 states/eV per cell. The value obtained for the energy relative to the elements is 0.18 eV/atom. For the magnetic moment, the calculation gives 0.000 μB/atom. As for the energy above the most stable polymorph in this dataset: 0.208 eV/atom. As for the symmetry: Fm-3m (225). The energy comes out at -10.346 eV/atom. As for the crystal system: cubic.

=====

No. 9
# Pm4HoGa3

A relaxed Pm4HoGa3 crystal (PBE-GGA, Alexandria via LeMat-Bulk).

The structure in POSCAR format:
```
Pm4HoGa3
1.0
-5.9273 5.9273 3.0509
5.9273 -5.9273 3.0509
5.9273 5.9273 -3.0509
Pm Ho Ga
8 2 6
Direct
0.0880 0.7846 0.8726 Pm
0.2154 0.0880 0.3034 Pm
0.2846 0.5880 0.8726 Pm
0.4120 0.2846 0.6966 Pm
0.5880 0.7154 0.3034 Pm
0.7154 0.4120 0.1274 Pm
0.7846 0.9120 0.6966 Pm
0.9120 0.2154 0.1274 Pm
0.2500 0.7500 0.5000 Ho
0.7500 0.2500 0.5000 Ho
0.1554 0.3446 0.5000 Ga
0.2500 0.2500 0.0000 Ga
0.3446 0.8446 0.1892 Ga
0.6554 0.1554 0.8108 Ga
0.7500 0.7500 0.0000 Ga
0.8446 0.6554 0.5000 Ga
```

Calculated values
Its density of states at the Fermi level is 12.7 states/eV per cell. The value obtained for the energy relative to the elements is -0.47 eV/atom. For the magnetic moment, the calculation gives 0.000 μB/atom. As for the symmetry: I4/mcm (140). The energy comes out at -4.548 eV/atom. As for the crystal system: tetragonal.

=====

No. 10
# LaScTl2

A relaxed LaScTl2 crystal (PBE-GGA, Alexandria via LeMat-Bulk).

The structure in POSCAR format:
```
LaScTl2
1.0
1.7863 1.0313 10.2974
-1.7863 1.0313 10.2974
0.0000 -2.0626 10.2974
La Sc Tl
1 1 2
Direct
0.0000 0.0000 0.0000 La
0.5000 0.5000 0.5000 Sc
0.2430 0.2430 0.2430 Tl
0.7570 0.7570 0.7570 Tl
```

Calculated values
Its density of states at the Fermi level is 4.7 states/eV per cell. The value obtained for the energy relative to the elements is -0.20 eV/atom. For the magnetic moment, the calculation gives 0.003 μB/atom. As for the symmetry: R-3m (166). The energy comes out at -4.195 eV/atom. As for the crystal system: trigonal.

=====

No. 11
# HfHg2Cl5

A relaxed HfHg2Cl5 crystal (PBE-GGA, Alexandria via LeMat-Bulk).

The structure in POSCAR format:
```
HfHg2Cl5
1.0
5.2042 0.0000 0.0000
-2.4037 6.8735 0.0000
-0.8682 -2.6133 8.0994
Hf Hg Cl
1 2 5
Direct
0.0000 0.0000 0.0000 Hf
0.2808 0.4483 0.4499 Hg
0.8480 0.5536 0.5516 Hg
0.0090 0.0047 0.7172 Cl
0.0956 0.9958 0.2832 Cl
0.2416 0.3679 0.0932 Cl
0.5424 0.0005 0.0001 Cl
0.8679 0.6322 0.9073 Cl
```

Calculated values
Its density of states at the Fermi level is 1.4 states/eV per cell. For the uncorrected formation energy, the calculation gives -1.243 eV/atom. For the magnetic moment, the calculation gives 0.000 μB/atom. As for the symmetry: P1 (1). The energy comes out at -3.716 eV/atom. As for the crystal system: triclinic.

=====

No. 12
# CrAsPBr2

A relaxed CrAsPBr2 crystal (PBE-GGA, Alexandria via LeMat-Bulk).

The structure in POSCAR format:
```
CrAsPBr2
1.0
4.9464 0.0000 0.0000
0.0000 4.9464 0.0000
0.0000 0.0000 4.9798
Cr As P Br
1 1 1 2
Direct
0.0000 0.0000 0.0000 Cr
0.5000 0.5000 0.0000 As
0.5000 0.5000 0.5000 P
0.0000 0.5000 0.5000 Br
0.5000 0.0000 0.5000 Br
```

Calculated values
Its density of states at the Fermi level is 10.5 states/eV per cell. For the uncorrected formation energy, the calculation gives 1.232 eV/atom. For the magnetic moment, the calculation gives 0.001 μB/atom. As for the energy above the most stable polymorph in this dataset: 0.622 eV/atom. As for the symmetry: P4/mmm (123). The energy comes out at -3.374 eV/atom. As for the crystal system: tetragonal.

=====

> The highest energy belongs to which entry?

CdHg2Sb